[1]
DFT (PBE) results for a geometry-optimized Tb3Pr structure.

It has space group P-6m2 (No. 187), with a = 3.6568 Å, b = 3.6568 Å, c = 11.5497 Å, α = 90.00°, β = 90.00° and γ = 120.00°. The asymmetric unit holds Tb at (0.0000, 0.0000, 0.0000), Tb at (0.6667, 0.3333, 0.2445) and Pr at (0.0000, 0.0000, 0.5000).

Its energy above the most stable polymorph in this dataset is 0.04 eV per formula unit. The formation energy comes out at 0.026 eV per atom.

[2]
DFT (PBE) results for a geometry-optimized Tb8Pr3 structure.

It has space group R-3m (No. 166, hexagonal axes), with a = 3.6042 Å, b = 3.6042 Å, c = 96.7230 Å, α = 90.00°, β = 90.00° and γ = 120.00°. The asymmetric unit holds Tb at (0.0000, 0.0000, 0.0448), Tb at (0.0000, 0.0000, 0.1360), Tb at (0.0000, 0.0000, 0.3184), Tb at (0.0000, 0.0000, 0.4079), Pr at (0.0000, 0.0000, 0.2280) and Pr at (0.0000, 0.0000, 0.5000).

Its energy above the most stable polymorph in this dataset is 0.00 eV per formula unit. The formation energy comes out at 0.015 eV per atom.

[3]
DFT (PBE) results for a geometry-optimized Tb7Pr5 structure.

It has space group C2/m (No. 12), with a = 18.8878 Å, b = 3.6446 Å, c = 13.3213 Å, α = 90.00°, β = 118.20° and γ = 90.00°. The asymmetric unit holds Tb at (0.0000, 0.0000, 0.0000), Tb at (0.0274, 0.5000, 0.2503), Tb at (0.1376, 0.0000, 0.7481), Tb at (0.1660, 0.0000, 0.4970), Pr at (0.0000, 0.5000, 0.5000), Pr at (0.1650, 0.5000, 0.9972) and Pr at (0.1949, 0.0000, 0.2514).

Its energy above the most stable polymorph in this dataset is 0.00 eV per formula unit. The formation energy comes out at 0.005 eV per atom.

[4]
DFT (PBE) results for a geometry-optimized TbPr structure.

It has space group C2/m (No. 12), with a = 12.5976 Å, b = 6.0115 Å, c = 3.7594 Å, α = 90.00°, β = 106.76° and γ = 90.00°. The asymmetric unit holds Tb at (0.1196, 0.0000, 0.3843) and Pr at (0.1316, 0.5000, 0.9176).

Its energy above the most stable polymorph in this dataset is 0.18 eV per formula unit. The formation energy comes out at 0.107 eV per atom.

[5]
DFT (PBE) results for a geometry-optimized Tb2Pr13 structure.

It has space group P-1 (No. 2), with a = 6.8556 Å, b = 9.2532 Å, c = 9.2572 Å, α = 66.58°, β = 82.43° and γ = 82.34°. The asymmetric unit holds Tb at (0.0994, 0.2676, 0.4308), Pr at (0.0000, 0.5000, 0.0000), Pr at (0.1012, 0.9357, 0.7658), Pr at (0.1944, 0.6941, 0.2081), Pr at (0.2984, 0.1289, 0.9723), Pr at (0.3036, 0.4627, 0.6377), Pr at (0.3968, 0.8977, 0.4052) and Pr at (0.4990, 0.6684, 0.8344).

Its energy above the most stable polymorph in this dataset is 0.00 eV per formula unit. The formation energy comes out at 0.052 eV per atom.

[6]
DFT (PBE) results for a geometry-optimized Tb3Pr structure.

It has space group P6_3/mmc (No. 194), with a = 7.3065 Å, b = 7.3065 Å, c = 5.7716 Å, α = 90.00°, β = 90.00° and γ = 120.00°. The asymmetric unit holds Tb at (0.1659, 0.3318, 0.2500) and Pr at (0.3333, 0.6667, 0.7500).

Its energy above the most stable polymorph in this dataset is 0.01 eV per formula unit. The formation energy comes out at 0.019 eV per atom.

[7]
DFT (PBE) results for a geometry-optimized TbPr6 structure.

It has space group P4/nbm (No. 125, origin choice 2), with a = 6.6898 Å, b = 6.6898 Å, c = 11.4587 Å, α = 90.00°, β = 90.00° and γ = 90.00°. The asymmetric unit holds Tb at (0.2500, 0.7500, 0.0000), Pr at (0.0815, 0.5815, 0.3604) and Pr at (0.2500, 0.2500, 0.1370).

Its energy above the most stable polymorph in this dataset is 0.00 eV per formula unit. The formation energy comes out at 0.232 eV per atom.

[8]
DFT (PBE) results for a geometry-optimized Tb2Pr13 structure.

It has space group R-3m (No. 166, hexagonal axes), with a = 7.2879 Å, b = 7.2879 Å, c = 35.7430 Å, α = 90.00°, β = 90.00° and γ = 120.00°. The asymmetric unit holds Tb at (0.0000, 0.0000, 0.2061), Pr at (0.0000, 0.0000, 0.0000), Pr at (0.0027, 0.5014, 0.9548) and Pr at (0.0034, 0.5017, 0.7902).

Its energy above the most stable polymorph in this dataset is 1.26 eV per formula unit. The formation energy comes out at 0.137 eV per atom.

[9]
DFT (PBE) results for a geometry-optimized TbPr structure.

It has space group Pmmn (No. 59, origin choice 2), with a = 3.6421 Å, b = 5.1423 Å, c = 7.2709 Å, α = 90.00°, β = 90.00° and γ = 90.00°. The asymmetric unit holds Tb at (0.2500, 0.2500, 0.1209) and Pr at (0.2500, 0.2500, 0.6284).

Its energy above the most stable polymorph in this dataset is 0.00 eV per formula unit. The formation energy comes out at 0.016 eV per atom.

[10]
DFT (PBE) results for a geometry-optimized Tb8Pr3 structure.

It has space group R-3 (No. 148, hexagonal axes), with a = 9.9193 Å, b = 9.9193 Å, c = 12.9601 Å, α = 90.00°, β = 90.00° and γ = 120.00°. The asymmetric unit holds Tb at (0.0000, 0.0000, 0.1290), Tb at (0.0258, 0.2173, 0.6118) and Pr at (0.0000, 0.5000, 0.5000).

Its energy above the most stable polymorph in this dataset is 5.67 eV per formula unit. The formation energy comes out at 0.531 eV per atom.

[11]
DFT (PBE) results for a geometry-optimized TbPr structure.

It has space group Imm2 (No. 44), with a = 3.6021 Å, b = 18.6183 Å, c = 6.2023 Å, α = 90.00°, β = 90.00° and γ = 90.00°. The asymmetric unit holds Tb at (0.0000, 0.0000, 0.0000), Tb at (0.0000, 0.1587, 0.3304), Pr at (0.0000, 0.3423, 0.3308) and Pr at (0.0000, 0.5000, 0.9965).

Its energy above the most stable polymorph in this dataset is 0.21 eV per formula unit. The formation energy comes out at 0.122 eV per atom.

[12]
DFT (PBE) results for a geometry-optimized Tb2Pr7 structure.

It has space group P-31m (No. 162), with a = 6.3784 Å, b = 6.3784 Å, c = 9.0052 Å, α = 90.00°, β = 90.00° and γ = 120.00°. The asymmetric unit holds Tb at (0.3333, 0.6667, 0.0000), Pr at (0.0000, 0.0000, 0.0000) and Pr at (0.0000, 0.3339, 0.6699).

Its energy above the most stable polymorph in this dataset is 0.00 eV per formula unit. The formation energy comes out at 0.015 eV per atom.

| no. | E_tot (eV per atom) | volume (A^3/atom) | DOS(E_F) (states/eV/atom) |
| --- | --- | --- | --- |
| 1 | -4.641 | 33.439 | 1.790 |
| 2 | -4.656 | 32.974 | 1.221 |
| 3 | -4.688 | 33.674 | 1.328 |
| 4 | -4.598 | 34.076 | 1.817 |
| 5 | -4.707 | 35.470 | 1.506 |
| 6 | -4.648 | 33.355 | 1.757 |
| 7 | -4.526 | 36.630 | 1.216 |
| 8 | -4.623 | 36.535 | 1.432 |
| 9 | -4.689 | 34.044 | 1.342 |
| 10 | -4.140 | 33.465 | 1.807 |
| 11 | -4.583 | 34.663 | 1.788 |
| 12 | -4.732 | 35.254 | 1.464 |